Density functional theory data (GGA-PBE) for crystalline AlFeW2 at its relaxed geometry.

Symmetry: Cmm2, No. 35
DOS at the Fermi energy, states/eV/cell: 2.44
ρ, g/cm³: 12.74
Volume, Å³/f.u.: 58.71
Energy of formation from the pure elements, eV per atom: -0.008

abc: 2.697 2.697 8.459
angles: 90.00 90.00 107.33
Site moments in Bohr magnetons follow the coordinates.
Fractional positions:
W  0.500  0.500  0.255  0.01
W  0.000  0.000  0.985  -0.02
Fe  0.500  0.500  0.744  2.06
Al  0.000  0.000  0.517  -0.02